Computed, not measured: an optimized crystal structure of La2FeTe at the GGA-PBEsol level of DFT.

Computed properties:
raw total energy = -47.32 eV/cell

a = 5.036 Å, b = 5.065 Å, c = 8.419 Å
α = 90.00°, β = 90.00°, γ = 90.00°
Space group Cmm2 (No. 35)
One atom of each set of equivalent atoms:
La 0.000 0.000 0.000 (multiplicity 2)
La 0.000 0.500 0.381 (multiplicity 2)
Fe 0.000 0.000 0.606 (multiplicity 2)
Te 0.000 0.500 0.752 (multiplicity 2)